The following is a GGA-PBE calculation of a relaxed Tb6ErTm3Th2 crystal, from Alexandria.

Lattice parameters (Å, degrees): 6.1359 6.1359 11.7565 95.00 95.00 119.95
Atoms (fractional coordinates):
Tm 0.1665 0.8335 0.5000
Tb 0.9162 0.5804 0.7505
Th 0.6666 0.3334 0.0000
Tm 0.8335 0.1665 0.5000
Tb 0.2525 0.2525 0.7504
Tb 0.7475 0.7475 0.2496
Tb 0.0838 0.4196 0.2495
Tm 0.5000 0.5000 0.5000
Th 0.3334 0.6666 0.0000
Tb 0.4196 0.0838 0.2495
Tb 0.5804 0.9162 0.7505
Er 0.0000 0.0000 0.0000

Output
Uncorrected energy in eV/atom: -5.021
Energy of formation from the pure elements in eV per atom: 0.029